Record 1
Crystalline SmErCd2Hg4 at its relaxed geometry, computed with GGA-PBE.

Geometry as POSCAR:
```
SmErCd2Hg4
1.0
-3.761 2.436 2.451
-1.440 -1.547 4.650
3.872 5.474 5.826
Hg Er Sm Cd
4 1 1 2
Cartesian
-3.062 2.864 8.420 Hg
1.733 3.498 4.506 Hg
1.395 5.083 7.733 Hg
-2.724 1.280 5.193 Hg
-0.665 3.181 6.463 Er
0.000 0.000 0.000 Sm
-0.989 4.779 9.699 Cd
-0.340 1.583 3.227 Cd
```

Results
The total energy comes out at -15.30 eV per formula unit. The value obtained for the energy relative to the elements is -0.373 eV per atom. Its space group is R-3m (166). The value obtained for the density of states at the Fermi level is 3.58 states/eV/cell. For the theoretical density, the calculation gives 11.8 g cm⁻³.

Record 2
Crystalline LaZn4Ga3 at its relaxed geometry, computed with GGA-PBE.

Geometry as POSCAR:
```
LaZn4Ga3
1.0
4.351 0.000 0.000
0.000 4.351 0.000
0.000 0.000 8.084
Ga La Zn
3 1 4
Cartesian
2.176 2.176 2.808 Ga
0.000 0.000 0.000 Ga
2.176 2.176 5.276 Ga
0.000 0.000 4.042 La
2.176 0.000 1.435 Zn
0.000 2.176 6.649 Zn
0.000 2.176 1.435 Zn
2.176 0.000 6.649 Zn
```

Results
The total energy comes out at -21.60 eV per formula unit. The value obtained for the energy relative to the elements is -0.312 eV per atom. Its space group is P4/mmm (123). The value obtained for the density of states at the Fermi level is 3.69 states/eV/cell. For the theoretical density, the calculation gives 6.6 g cm⁻³.

Record 3
Crystalline Pm6Y5Er2 at its relaxed geometry, computed with GGA-PBE.

Geometry as POSCAR:
```
Pm6Y5Er2
1.0
-1.377 -2.221 -2.514
9.517 1.568 -6.598
9.040 -16.043 9.225
Pm Y Er
12 10 4
Cartesian
9.158 -5.866 0.167 Pm
13.512 -13.919 2.283 Pm
3.668 -2.777 -2.171 Pm
10.487 -5.651 -3.366 Pm
11.808 -13.240 5.232 Pm
4.090 -5.746 2.837 Pm
6.692 -11.045 3.479 Pm
17.241 -13.300 2.309 Pm
1.315 -1.175 0.318 Pm
14.466 -8.729 -0.210 Pm
6.748 -1.234 -2.605 Pm
9.398 -8.609 2.460 Pm
10.982 -8.946 -0.725 Y
4.070 -0.326 -4.556 Y
2.222 -4.587 0.221 Y
6.197 -7.750 0.838 Y
9.720 -15.935 6.142 Y
7.421 -4.585 -2.629 Y
3.831 -9.132 3.355 Y
9.759 -12.111 2.741 Y
7.459 -0.760 -6.029 Y
14.958 -12.109 -0.108 Y
12.772 -10.355 2.155 Er
5.784 -4.119 0.472 Er
9.832 -2.074 -3.552 Er
8.725 -12.401 6.179 Er
```

Results
The total energy comes out at -68.65 eV per formula unit. The value obtained for the energy relative to the elements is 0.100 eV per atom. Its space group is Pbam (55). The value obtained for the density of states at the Fermi level is 31.38 states/eV/cell. For the theoretical density, the calculation gives 6.3 g cm⁻³.